[1]
# ScTlCdCu (GGA-PBE, optimized geometry)
# Total magnetic moment = 0.00 Bohr magnetons per cell
# Volume = 312.6 Å³/cell
# VASP energy = -54.1 eV per cell
data_ScTlCdCu
_chemical_formula_sum 'Sc4 Tl4 Cd4 Cu4'
_space_group_name_H-M_alt 'F -4 3 m'
_space_group_IT_number 216
_space_group_name_Hall 'F -4 2 3'
_cell_length_a 6.786
_cell_length_b 6.786
_cell_length_c 6.786
_cell_angle_alpha 90.00
_cell_angle_beta 90.00
_cell_angle_gamma 90.00
loop_
_atom_site_label
_atom_site_type_symbol
_atom_site_fract_x
_atom_site_fract_y
_atom_site_fract_z
Sc1 Sc 0.000 0.000 0.000
Tl1 Tl 0.250 0.250 0.250
Cd1 Cd 0.250 0.250 0.750
Cu1 Cu 0.000 0.000 0.500

***

[2]
# ScTlCdCu (GGA-PBE, optimized geometry)
# Total magnetic moment = 0.00 Bohr magnetons per cell
# Volume = 316.8 Å³/cell
# VASP energy = -53.5 eV per cell
data_ScTlCdCu
_chemical_formula_sum 'Sc4 Tl4 Cd4 Cu4'
_space_group_name_H-M_alt 'F -4 3 m'
_space_group_IT_number 216
_space_group_name_Hall 'F -4 2 3'
_cell_length_a 6.817
_cell_length_b 6.817
_cell_length_c 6.817
_cell_angle_alpha 90.00
_cell_angle_beta 90.00
_cell_angle_gamma 90.00
loop_
_atom_site_label
_atom_site_type_symbol
_atom_site_fract_x
_atom_site_fract_y
_atom_site_fract_z
Sc1 Sc 0.000 0.000 0.000
Tl1 Tl 0.000 0.000 0.500
Cd1 Cd 0.250 0.250 0.250
Cu1 Cu 0.250 0.250 0.750

***

[3]
# ScZnCdCu (GGA-PBE, optimized geometry)
# Total magnetic moment = 0.00 Bohr magnetons per cell
# Volume = 272.6 Å³/cell
# VASP energy = -51.7 eV per cell
# Energy of formation from the pure elements = -177 meV per atom
data_ScZnCdCu
_chemical_formula_sum 'Sc4 Zn4 Cd4 Cu4'
_space_group_name_H-M_alt 'F -4 3 m'
_space_group_IT_number 216
_space_group_name_Hall 'F -4 2 3'
_cell_length_a 6.484
_cell_length_b 6.484
_cell_length_c 6.484
_cell_angle_alpha 90.00
_cell_angle_beta 90.00
_cell_angle_gamma 90.00
loop_
_atom_site_label
_atom_site_type_symbol
_atom_site_fract_x
_atom_site_fract_y
_atom_site_fract_z
Sc1 Sc 0.000 0.000 0.000
Zn1 Zn 0.000 0.000 0.500
Cd1 Cd 0.250 0.250 0.250
Cu1 Cu 0.250 0.250 0.750

***

[4]
# ScZnCdCu (GGA-PBE, optimized geometry)
# Total magnetic moment = 0.01 Bohr magnetons per cell
# Volume = 271.5 Å³/cell
# VASP energy = -51.4 eV per cell
# Energy of formation from the pure elements = -162 meV per atom
data_ScZnCdCu
_chemical_formula_sum 'Sc4 Zn4 Cd4 Cu4'
_space_group_name_H-M_alt 'F -4 3 m'
_space_group_IT_number 216
_space_group_name_Hall 'F -4 2 3'
_cell_length_a 6.475
_cell_length_b 6.475
_cell_length_c 6.475
_cell_angle_alpha 90.00
_cell_angle_beta 90.00
_cell_angle_gamma 90.00
loop_
_atom_site_label
_atom_site_type_symbol
_atom_site_fract_x
_atom_site_fract_y
_atom_site_fract_z
Sc1 Sc 0.000 0.000 0.000
Zn1 Zn 0.250 0.250 0.250
Cd1 Cd 0.250 0.250 0.750
Cu1 Cu 0.000 0.000 0.500

***

[5]
# CdCu2Se3 (GGA-PBE, optimized geometry)
# Volume = 275.4 Å³/cell
# VASP energy = -40.7 eV per cell
data_CdCu2Se3
_chemical_formula_sum 'Cd2 Cu4 Se6'
_space_group_name_H-M_alt 'I m m 2'
_space_group_IT_number 44
_cell_length_a 4.040
_cell_length_b 12.087
_cell_length_c 5.639
_cell_angle_alpha 90.00
_cell_angle_beta 90.00
_cell_angle_gamma 90.00
loop_
_space_group_symop_operation_xyz
'x,y,z'
'-x,-y,z'
'-x,y,z'
'x,-y,z'
'x+1/2,y+1/2,z+1/2'
'-x+1/2,-y+1/2,z+1/2'
'-x+1/2,y+1/2,z+1/2'
'x+1/2,-y+1/2,z+1/2'
loop_
_atom_site_label
_atom_site_type_symbol
_atom_site_fract_x
_atom_site_fract_y
_atom_site_fract_z
Cd1 Cd 0.000 0.000 0.000
Cu1 Cu 0.000 0.331 0.018
Se1 Se 0.000 0.183 0.737
Se2 Se 0.000 0.500 0.806

***

[6]
# CdCu2SiSe4 (GGA-PBE, optimized geometry)
# Volume = 365.6 Å³/cell
# VASP energy = -61.6 eV per cell
data_CdCu2SiSe4
_chemical_formula_sum 'Cd2 Cu4 Si2 Se8'
_space_group_name_H-M_alt 'P m n 21'
_space_group_IT_number 31
_cell_length_a 8.068
_cell_length_b 6.849
_cell_length_c 6.616
_cell_angle_alpha 90.00
_cell_angle_beta 90.00
_cell_angle_gamma 90.00
loop_
_space_group_symop_operation_xyz
'x,y,z'
'-x+1/2,-y,z+1/2'
'-x,y,z'
'x+1/2,-y,z+1/2'
loop_
_atom_site_label
_atom_site_type_symbol
_atom_site_fract_x
_atom_site_fract_y
_atom_site_fract_z
Cd1 Cd 0.000 0.152 0.000
Cu1 Cu 0.248 0.324 0.496
Si1 Si 0.000 0.822 0.503
Se1 Se 0.000 0.149 0.595
Se2 Se 0.000 0.793 0.152
Se3 Se 0.228 0.656 0.631

***

[7]
# CdCu2SiTeSe3 (GGA-PBE, optimized geometry)
# Volume = 384.2 Å³/cell
# VASP energy = -59.9 eV per cell
data_CdCu2SiTeSe3
_chemical_formula_sum 'Cd2 Cu4 Si2 Te2 Se6'
_space_group_name_H-M_alt 'C 1 m 1'
_space_group_IT_number 8
_cell_length_a 8.286
_cell_length_b 8.233
_cell_length_c 6.943
_cell_angle_alpha 90.00
_cell_angle_beta 125.78
_cell_angle_gamma 90.00
loop_
_space_group_symop_operation_xyz
'x,y,z'
'x,-y,z'
'x+1/2,y+1/2,z'
'x+1/2,-y+1/2,z'
loop_
_atom_site_label
_atom_site_type_symbol
_atom_site_fract_x
_atom_site_fract_y
_atom_site_fract_z
Cd1 Cd 0.000 0.000 0.000
Cu1 Cu 0.003 0.263 0.522
Si1 Si 0.482 0.000 0.001
Te1 Te 0.358 0.500 0.281
Se1 Se 0.361 0.223 0.744
Se2 Se 0.397 0.000 0.268

***

[8]
# SmCdCuSe3 (GGA-PBE, optimized geometry)
# Total magnetic moment = 0.01 Bohr magnetons per cell
# Volume = 559.5 Å³/cell
# VASP energy = -101.0 eV per cell
data_SmCdCuSe3
_chemical_formula_sum 'Sm4 Cd4 Cu4 Se12'
_space_group_name_H-M_alt 'C m c m'
_space_group_IT_number 63
_space_group_name_Hall '-C 2c 2'
_cell_length_a 3.970
_cell_length_b 12.932
_cell_length_c 10.898
_cell_angle_alpha 90.00
_cell_angle_beta 90.00
_cell_angle_gamma 90.00
loop_
_atom_site_label
_atom_site_type_symbol
_atom_site_fract_x
_atom_site_fract_y
_atom_site_fract_z
Sm1 Sm 0.000 0.000 0.000
Cd1 Cd 0.000 0.234 0.250
Cu1 Cu 0.000 0.474 0.750
Se1 Se 0.000 0.096 0.750
Se2 Se 0.000 0.351 0.580

***

[9]
# CdCu2SnTe3Se (GGA-PBE, optimized geometry)
# Volume = 471.0 Å³/cell
# VASP energy = -54.6 eV per cell
data_CdCu2SnTe3Se
_chemical_formula_sum 'Cd2 Cu4 Sn2 Te6 Se2'
_space_group_name_H-M_alt 'C 1 m 1'
_space_group_IT_number 8
_cell_length_a 8.781
_cell_length_b 8.781
_cell_length_c 7.498
_cell_angle_alpha 90.00
_cell_angle_beta 125.44
_cell_angle_gamma 90.00
loop_
_space_group_symop_operation_xyz
'x,y,z'
'x,-y,z'
'x+1/2,y+1/2,z'
'x+1/2,-y+1/2,z'
loop_
_atom_site_label
_atom_site_type_symbol
_atom_site_fract_x
_atom_site_fract_y
_atom_site_fract_z
Cd1 Cd 0.000 0.000 0.000
Cu1 Cu 0.019 0.261 0.519
Sn1 Sn 0.022 0.500 0.002
Te1 Te 0.127 0.000 0.724
Te2 Te 0.158 0.252 0.294
Se1 Se 0.121 0.500 0.728

***

[10]
# ZnCdCuSnSe4 (GGA-PBE, optimized geometry)
# Volume = 424.8 Å³/cell
# VASP energy = -54.7 eV per cell
data_ZnCdCuSnSe4
_chemical_formula_sum 'Zn2 Cd2 Cu2 Sn2 Se8'
_space_group_name_H-M_alt 'I -4'
_space_group_IT_number 82
_cell_length_a 5.928
_cell_length_b 5.928
_cell_length_c 12.089
_cell_angle_alpha 90.00
_cell_angle_beta 90.00
_cell_angle_gamma 90.00
loop_
_space_group_symop_operation_xyz
'x,y,z'
'y,-x,-z'
'-x,-y,z'
'-y,x,-z'
'x+1/2,y+1/2,z+1/2'
'y+1/2,-x+1/2,-z+1/2'
'-x+1/2,-y+1/2,z+1/2'
'-y+1/2,x+1/2,-z+1/2'
loop_
_atom_site_label
_atom_site_type_symbol
_atom_site_fract_x
_atom_site_fract_y
_atom_site_fract_z
Zn1 Zn 0.000 0.000 0.000
Cd1 Cd 0.000 0.000 0.500
Cu1 Cu 0.000 0.500 0.750
Sn1 Sn 0.000 0.500 0.250
Se1 Se 0.212 0.738 0.875

***

[11]
# CdCuSiTc (GGA-PBE, optimized geometry)
# Total magnetic moment = 0.01 Bohr magnetons per cell
# Volume = 235.0 Å³/cell
# VASP energy = -77.3 eV per cell
data_CdCuSiTc
_chemical_formula_sum 'Cd4 Cu4 Si4 Tc4'
_space_group_name_H-M_alt 'F -4 3 m'
_space_group_IT_number 216
_space_group_name_Hall 'F -4 2 3'
_cell_length_a 6.171
_cell_length_b 6.171
_cell_length_c 6.171
_cell_angle_alpha 90.00
_cell_angle_beta 90.00
_cell_angle_gamma 90.00
loop_
_atom_site_label
_atom_site_type_symbol
_atom_site_fract_x
_atom_site_fract_y
_atom_site_fract_z
Cd1 Cd 0.000 0.000 0.000
Cu1 Cu 0.250 0.250 0.750
Si1 Si 0.000 0.000 0.500
Tc1 Tc 0.250 0.250 0.250

***

[12]
# CdCuSiW (GGA-PBE, optimized geometry)
# Total magnetic moment = 0.10 Bohr magnetons per cell
# Volume = 245.3 Å³/cell
# VASP energy = -82.3 eV per cell
data_CdCuSiW
_chemical_formula_sum 'Cd4 Cu4 Si4 W4'
_space_group_name_H-M_alt 'F -4 3 m'
_space_group_IT_number 216
_space_group_name_Hall 'F -4 2 3'
_cell_length_a 6.260
_cell_length_b 6.260
_cell_length_c 6.260
_cell_angle_alpha 90.00
_cell_angle_beta 90.00
_cell_angle_gamma 90.00
loop_
_atom_site_label
_atom_site_type_symbol
_atom_site_fract_x
_atom_site_fract_y
_atom_site_fract_z
Cd1 Cd 0.000 0.000 0.000
Cu1 Cu 0.250 0.250 0.750
Si1 Si 0.000 0.000 0.500
W1 W 0.250 0.250 0.250

***

[13]
# YCdCuSi (GGA-PBE, optimized geometry)
# Total magnetic moment = 0.00 Bohr magnetons per cell
# Volume = 304.8 Å³/cell
# VASP energy = -67.4 eV per cell
data_YCdCuSi
_chemical_formula_sum 'Y4 Cd4 Cu4 Si4'
_space_group_name_H-M_alt 'F -4 3 m'
_space_group_IT_number 216
_space_group_name_Hall 'F -4 2 3'
_cell_length_a 6.730
_cell_length_b 6.730
_cell_length_c 6.730
_cell_angle_alpha 90.00
_cell_angle_beta 90.00
_cell_angle_gamma 90.00
loop_
_atom_site_label
_atom_site_type_symbol
_atom_site_fract_x
_atom_site_fract_y
_atom_site_fract_z
Y1 Y 0.000 0.000 0.000
Cd1 Cd 0.250 0.250 0.750
Cu1 Cu 0.000 0.000 0.500
Si1 Si 0.250 0.250 0.250

***

[14]
# YCdCuSi (GGA-PBE, optimized geometry)
# Total magnetic moment = 0.00 Bohr magnetons per cell
# Volume = 305.5 Å³/cell
# VASP energy = -66.3 eV per cell
data_YCdCuSi
_chemical_formula_sum 'Y4 Cd4 Cu4 Si4'
_space_group_name_H-M_alt 'F -4 3 m'
_space_group_IT_number 216
_space_group_name_Hall 'F -4 2 3'
_cell_length_a 6.735
_cell_length_b 6.735
_cell_length_c 6.735
_cell_angle_alpha 90.00
_cell_angle_beta 90.00
_cell_angle_gamma 90.00
loop_
_atom_site_label
_atom_site_type_symbol
_atom_site_fract_x
_atom_site_fract_y
_atom_site_fract_z
Y1 Y 0.000 0.000 0.000
Cd1 Cd 0.250 0.250 0.250
Cu1 Cu 0.250 0.250 0.750
Si1 Si 0.000 0.000 0.500